Computed, not measured: ZrOsCl2 after structural relaxation at the GGA-PBE level of DFT.

Calculated values
Crystal system = orthorhombic
Formation energy without anion corrections = -178 meV per atom
Calculated density = 6.68 g/cm³
V = 21.9 Å³/atom
Uncorrected energy = -24.18 eV per cell
Magnetic moment = 0.0 μB per formula unit
Energy above the lowest structure with this stoichiometry = 0.151 eV/atom

a b c (Å): 3.3808 3.7341 6.9416
angles (deg): 90.00 90.00 90.00
Last column: nearest neighbours and their distance in Å.
Positions (direct):
Zr1 0.0000 0.0000 0.0000  5 Cl 2.63-2.93, 4 Os 2.72
Os1 0.5000 0.5000 0.8532  1 Cl 2.51, 4 Zr 2.72
Cl1 0.0000 0.0000 0.6211  1 Zr 2.63
Cl2 0.5000 0.5000 0.2149  1 Os 2.51

=====

Computed, not measured: ZrOsCl2 after structural relaxation at the GGA-PBE level of DFT.

Calculated values
Crystal system = orthorhombic
Formation energy without anion corrections = 137 meV per atom
Calculated density = 8.33 g/cm³
V = 17.6 Å³/atom
Uncorrected energy = -22.92 eV per cell
Magnetic moment = 0.0 μB per formula unit
Energy above the lowest structure with this stoichiometry = 0.466 eV/atom

a b c (Å): 2.9962 4.3760 5.3588
angles (deg): 90.00 90.00 90.00
Last column: nearest neighbours and their distance in Å.
Positions (direct):
Zr1 0.0000 0.0000 0.0000  4 Cl 2.65
Os1 0.5000 0.0000 0.5000  4 Cl 2.65
Cl1 0.0000 0.5000 0.5000  4 Os 2.65
Cl2 0.5000 0.5000 0.0000  4 Zr 2.65

=====

Computed, not measured: ZrOsCl2 after structural relaxation at the GGA-PBE level of DFT.

Calculated values
Crystal system = tetragonal
Formation energy without anion corrections = 295 meV per atom
Calculated density = 6.36 g/cm³
V = 23.0 Å³/atom
Uncorrected energy = -22.29 eV per cell
Magnetic moment = 2.5 μB per formula unit
Energy above the lowest structure with this stoichiometry = 0.624 eV/atom

a b c (Å): 2.9962 2.9962 10.2538
angles (deg): 90.00 90.00 90.00
Last column: nearest neighbours and their distance in Å.
Positions (direct):
Zr1 0.0000 0.0000 0.0000  8 Cl 2.67
Os1 0.0000 0.0000 0.5000  4 Os 3.00
Cl1 0.5000 0.5000 0.1587  4 Zr 2.67
Cl2 0.5000 0.5000 0.8413  4 Zr 2.67

=====

Computed, not measured: ZrOsCl2 after structural relaxation at the GGA-PBE level of DFT.

Calculated values
Crystal system = monoclinic
Formation energy without anion corrections = 23 meV per atom
Calculated density = 7.95 g/cm³
V = 18.4 Å³/atom
Uncorrected energy = -46.76 eV per cell
Magnetic moment = 0.0 μB per formula unit
Energy above the lowest structure with this stoichiometry = 0.352 eV/atom

a b c (Å): 5.7771 8.6773 4.0798
angles (deg): 90.00 133.95 90.00
Last column: nearest neighbours and their distance in Å.
Positions (direct):
Zr1 0.0000 0.0000 0.0000  4 Cl 2.62, 2 Os 2.89
Zr2 0.5000 0.5000 0.0000  4 Cl 2.62, 2 Os 2.89
Os1 0.0000 0.5000 0.0000  4 Cl 2.62, 2 Zr 2.89
Os2 0.5000 0.0000 0.0000  4 Cl 2.62, 2 Zr 2.89
Cl1 0.2500 0.2500 0.5000  2 Zr 2.62, 2 Os 2.62, 2 Cl 2.89
Cl2 0.2500 0.7500 0.5000  2 Zr 2.62, 2 Os 2.62, 2 Cl 2.89
Cl3 0.7500 0.2500 0.5000  2 Zr 2.62, 2 Os 2.62, 2 Cl 2.89
Cl4 0.7500 0.7500 0.5000  2 Zr 2.62, 2 Os 2.62, 2 Cl 2.89

=====

Computed, not measured: ZrOs3Cl after structural relaxation at the GGA-PBE level of DFT.

Calculated values
Crystal system = cubic
Formation energy without anion corrections = 2687 meV per atom
Calculated density = 9.36 g/cm³
V = 24.7 Å³/atom
Uncorrected energy = -30.65 eV per cell
Magnetic moment = 5.8 μB per formula unit
Energy above the lowest structure with this stoichiometry = 1.406 eV/atom

a b c (Å): 4.9826 4.9826 4.9826
angles (deg): 90.00 90.00 90.00
Last column: nearest neighbours and their distance in Å.
Positions (direct):
Zr1 0.0000 0.0000 0.0000  6 Os 2.49
Os1 0.0000 0.0000 0.5000  2 Zr 2.49
Os2 0.0000 0.5000 0.0000  2 Zr 2.49
Os3 0.5000 0.0000 0.0000  2 Zr 2.49
Cl1 0.5000 0.5000 0.5000  12 Os 3.52

=====

Computed, not measured: ZrOsCl after structural relaxation at the GGA-PBE level of DFT.

Calculated values
Crystal system = cubic
Formation energy without anion corrections = 536 meV per atom
Calculated density = 8.10 g/cm³
V = 21.6 Å³/atom
Uncorrected energy = -80.07 eV per cell
Magnetic moment = 1.0 μB per formula unit
Energy above the lowest structure with this stoichiometry = 0.810 eV/atom

a b c (Å): 6.3802 6.3802 6.3802
angles (deg): 90.00 90.00 90.00
Last column: nearest neighbours and their distance in Å.
Positions (direct):
Zr1 0.0000 0.0000 0.0000  4 Cl 2.76, 4 Os 2.76
Zr2 0.0000 0.5000 0.5000  4 Cl 2.76, 4 Os 2.76
Zr3 0.5000 0.0000 0.5000  4 Cl 2.76, 4 Os 2.76
Zr4 0.5000 0.5000 0.0000  4 Cl 2.76, 4 Os 2.76
Os1 0.2500 0.2500 0.7500  4 Zr 2.76
Os2 0.2500 0.7500 0.2500  4 Zr 2.76
Os3 0.7500 0.2500 0.2500  4 Zr 2.76
Os4 0.7500 0.7500 0.7500  4 Zr 2.76
Cl1 0.2500 0.2500 0.2500  4 Zr 2.76
Cl2 0.2500 0.7500 0.7500  4 Zr 2.76
Cl3 0.7500 0.2500 0.7500  4 Zr 2.76
Cl4 0.7500 0.7500 0.2500  4 Zr 2.76